(1)
Material: In2SnHgRu
Method: DFT, GGA-PBE
State: optimized geometry

Cell and atoms, written as POSCAR:
```
In2SnHgRu
1.0
5.2347 0.0000 0.0000
0.0000 5.2347 0.0000
0.0000 0.0000 5.0833
In Sn Hg Ru
2 1 1 1
Cartesian
0.0000 2.6174 0.0000
2.6174 0.0000 0.0000
0.0000 0.0000 2.5417
2.6174 2.6174 2.5417
0.0000 0.0000 0.0000
```

Results
DOS(E_F)	0.28	states/eV per atom
calculated volume	139	Å³/cell
calculated formation energy	-0.031	eV/atom
M_tot	0.0	μB/f.u.

(2)
Material: Ta3Ni3Ir2
Method: DFT, GGA-PBE
State: optimized geometry

Cell and atoms, written as POSCAR:
```
Ta3Ni3Ir2
1.0
6.8811 0.0000 0.0000
-3.4406 5.9592 0.0000
0.0000 0.0000 2.9886
Ta Ni Ir
3 3 2
Cartesian
-2.1971 3.8056 0.0000
1.2434 2.1537 0.0000
4.3943 0.0000 0.0000
-0.7641 1.3234 1.4943
1.5281 0.0000 1.4943
2.6765 4.6358 1.4943
0.0000 3.9728 1.4943
3.4406 1.9864 1.4943
```

Results
DOS(E_F)	0.59	states/eV per atom
calculated volume	123	Å³/cell
calculated formation energy	-0.267	eV/atom
M_tot	0.0	μB/f.u.

(3)
Material: Nd3Sm3Tl2Ga
Method: DFT, GGA-PBE
State: optimized geometry

Cell and atoms, written as POSCAR:
```
Nd3Sm3Tl2Ga
1.0
9.0349 0.0000 0.0000
-4.5175 7.8245 0.0000
0.0000 0.0000 3.8410
Nd Sm Tl Ga
3 3 2 1
Cartesian
-3.3020 5.7193 0.0000
1.2154 2.1052 0.0000
6.6040 0.0000 0.0000
-1.7577 3.0445 1.9205
3.5154 0.0000 1.9205
2.7597 4.7800 1.9205
0.0000 5.2163 0.0000
4.5175 2.6082 0.0000
0.0000 0.0000 1.9205
```

Results
DOS(E_F)	1.19	states/eV per atom
calculated volume	272	Å³/cell
calculated formation energy	-0.300	eV/atom
M_tot	0.0	μB/f.u.

What did the first record say?
Material: In2SnHgRu
Method: DFT, GGA-PBE
State: optimized geometry

Cell and atoms, written as POSCAR:
```
In2SnHgRu
1.0
5.2347 0.0000 0.0000
0.0000 5.2347 0.0000
0.0000 0.0000 5.0833
In Sn Hg Ru
2 1 1 1
Cartesian
0.0000 2.6174 0.0000
2.6174 0.0000 0.0000
0.0000 0.0000 2.5417
2.6174 2.6174 2.5417
0.0000 0.0000 0.0000
```

Results
DOS(E_F)	0.28	states/eV per atom
calculated volume	139	Å³/cell
calculated formation energy	-0.031	eV/atom
M_tot	0.0	μB/f.u.

Question: M_tot of number 1 (In2SnHgRu)?
Answer: 0.0 μB/f.u.